Mn2TlCo | Alexandria | PBE | relaxed; calculated volume = 15.233 Å³/atom; uncorrected energy = -6.55 eV/atom; spin magnetization = 7.7 μB per formula unit; E above lowest polymorph = 110.5 meV/atom; theoretical density = 10.17 g cm⁻³; ΔH_f (0 K) = 0.407 eV/atom
1.0
3.122 0.000 0.000
0.000 3.122 0.000
0.000 0.000 6.250
Mn Tl Co
2 1 1
Direct
0.000 0.000 0.000
0.500 0.500 0.229
0.000 0.000 0.530
0.500 0.500 0.813